9
Lattice="-0.048 1.630 5.271 -5.114 -1.991 0.569 4.394 -10.359 3.243" Properties=species:S:1:pos:R:3 comment="Pm2SmHoTe5 (PBE, optimized geometry)" magnetic_moment_mub_per_atom=0.064 raw_formation_energy_kcal_per_mol_atoms=-18.45 pbc="T T T"
Sm 0.000 0.000 0.000
Pm -1.073 -3.736 4.033
Pm 0.304 -6.984 5.050
Te 2.173 -4.364 4.257
Te -0.360 -6.175 1.906
Te 3.301 -7.783 2.436
Te 1.093 -2.576 0.806
Te -2.581 -0.181 2.920
Ho 2.197 -5.179 1.621